[1]
A plane-wave DFT calculation with meta-GGA SCAN was carried out for a PBEsol-optimized structure of Ba2CaOs.

Summary:
DOS(E_F) ... 3.06 states/eV/f.u.
Mass density ... 5.3 Mg/m³

a = 4.0968 Å, b = 4.0968 Å, c = 32.5338 Å
α = 90.00°, β = 90.00°, γ = 120.00°
Closest atoms and distances in Å follow each position.
Space group R-3m (No. 166, hexagonal axes)
Asymmetric unit:
Ba 0.0000 0.0000 0.2252 x6  3 Os 3.04
Ca 0.0000 0.0000 0.0000 x3  6 Ca 4.10, 6 Ba 4.24
Os 0.0000 0.0000 0.5000 x3  6 Ba 3.04

[2]
A plane-wave DFT calculation with meta-GGA SCAN was carried out for a PBEsol-optimized structure of Ba3CaP.

Summary:
DOS(E_F) ... 5.90 states/eV/f.u.
Mass density ... 3.6 Mg/m³

a = 6.0716 Å, b = 6.0716 Å, c = 6.0716 Å
α = 90.00°, β = 90.00°, γ = 90.00°
Closest atoms and distances in Å follow each position.
Space group Pm-3m (No. 221)
Asymmetric unit:
Ba 0.0000 0.0000 0.5000 x3  2 Ca 3.04
Ca 0.0000 0.0000 0.0000 x1  6 Ba 3.04
P 0.5000 0.5000 0.5000 x1  12 Ba 4.29

[3]
A plane-wave DFT calculation with meta-GGA SCAN was carried out for a PBEsol-optimized structure of BaCa2P.

Summary:
DOS(E_F) ... 2.31 states/eV/f.u.
Mass density ... 2.9 Mg/m³

a = 4.1387 Å, b = 5.0495 Å, c = 13.8176 Å
α = 90.00°, β = 90.00°, γ = 90.00°
Closest atoms and distances in Å follow each position.
Space group Amm2 (No. 38)
Asymmetric unit:
Ba 0.0000 0.0000 0.0000 x2  4 P 3.32, 2 Ca 3.61
Ca 0.0000 0.0000 0.6872 x2  2 P 2.86
Ca 0.5000 0.0000 0.3387 x2  1 P 2.85
P 0.5000 0.0000 0.5446 x2  3 Ca 2.85-2.86

[4]
A plane-wave DFT calculation with meta-GGA SCAN was carried out for a PBEsol-optimized structure of BaCa2P2.

Summary:
Mass density ... 3.2 Mg/m³

a = 4.6291 Å, b = 4.6291 Å, c = 13.4946 Å
α = 90.00°, β = 90.00°, γ = 90.00°
Closest atoms and distances in Å follow each position.
Space group I4/mmm (No. 139)
Asymmetric unit:
Ba 0.0000 0.0000 0.0000 x2  8 P 3.72, 8 Ca 4.09
Ca 0.0000 0.5000 0.2500 x4  4 P 2.82
P 0.0000 0.0000 0.3689 x4  4 Ca 2.82

[5]
A plane-wave DFT calculation with meta-GGA SCAN was carried out for a PBEsol-optimized structure of BaCa2P.

Summary:
DOS(E_F) ... 2.09 states/eV/f.u.
Mass density ... 2.6 Mg/m³

a = 4.2131 Å, b = 4.2131 Å, c = 30.8435 Å
α = 90.00°, β = 90.00°, γ = 120.00°
Closest atoms and distances in Å follow each position.
Space group R-3m (No. 166, hexagonal axes)
Asymmetric unit:
Ba 0.0000 0.0000 0.0000 x3  6 Ba 4.21, 6 Ca 4.43
Ca 0.0000 0.0000 0.2131 x6  3 P 2.82
P 0.0000 0.0000 0.5000 x3  6 Ca 2.82

[6]
A plane-wave DFT calculation with meta-GGA SCAN was carried out for a PBEsol-optimized structure of BaCa2P.

Summary:
DOS(E_F) ... 2.23 states/eV/f.u.
Mass density ... 3.0 Mg/m³

a = 3.7945 Å, b = 5.6583 Å, c = 12.7086 Å
α = 90.00°, β = 90.00°, γ = 90.00°
Closest atoms and distances in Å follow each position.
Space group Immm (No. 71)
Asymmetric unit:
Ba 0.0000 0.0000 0.0000 x2  4 P 3.41, 4 Ca 3.55, 2 Ba 3.79
Ca 0.0000 0.5000 0.1684 x4  2 P 2.86
P 0.0000 0.0000 0.5000 x2  4 Ca 2.86

Number 1: ΔE_f 734 meV/atom. Number 2: ΔE_f 794 meV/atom. Number 3: ΔE_f -676 meV/atom. Number 4: ΔE_f -1112 meV/atom. Number 5: ΔE_f -708 meV/atom. Number 6: ΔE_f -676 meV/atom.